No. 1
The following is a DFT calculation (GGA-PBE) of an optimized crystal structure of Tm3Th2Ru2.

Results
DFT formation energy = -370 meV/atom
symmetry = P-1, No. 2
total magnetization = 0.0 μB per cell
density of states at the Fermi level = 6.98 states/eV/f.u.

Unit cell a=3.7977 b=6.2285 c=8.6767 alpha=100.89 beta=102.62 gamma=107.64
Closest atoms and distances in Å follow each position.
Positions (direct):
1 Tm 0.0000 0.0000 0.0000  4 Ru 3.03
2 Tm 0.3023 0.1832 0.4215  3 Ru 2.85-2.98
3 Tm 0.6977 0.8168 0.5785  3 Ru 2.85-2.98
4 Th 0.1390 0.4747 0.8046  2 Ru 2.70
5 Th 0.8610 0.5253 0.1954  2 Ru 2.70
6 Ru 0.4514 0.1403 0.7643  2 Th 2.70, 3 Tm 2.85-2.98
7 Ru 0.5486 0.8597 0.2357  2 Th 2.70, 3 Tm 2.85-2.98

---

No. 2
The following is a DFT calculation (GGA-PBE) of an optimized crystal structure of Tm2ThRu.

Results
DFT formation energy = -245 meV/atom
relative energy among the computed polymorphs = 132 meV per atom
symmetry = P4/mmm, No. 123
total magnetization = 0.0 μB per cell
density of states at the Fermi level = 4.16 states/eV/f.u.

Unit cell a=3.4111 b=3.4111 c=8.7280 alpha=90.00 beta=90.00 gamma=90.00
Closest atoms and distances in Å follow each position.
Positions (direct):
1 Tm 0.0000 0.0000 0.1841  4 Ru 2.90, 1 Tm 3.21
2 Tm 0.0000 0.0000 0.8159  4 Ru 2.90, 1 Tm 3.21
3 Th 0.5000 0.5000 0.5000  4 Th 3.41, 8 Tm 3.66
4 Ru 0.5000 0.5000 0.0000  8 Tm 2.90

---

No. 3
The following is a DFT calculation (GGA-PBE) of an optimized crystal structure of Tm2ThRu.

Results
DFT formation energy = -330 meV/atom
relative energy among the computed polymorphs = 47 meV per atom
symmetry = Cmcm, No. 63
total magnetization = 0.0 μB per cell
density of states at the Fermi level = 4.95 states/eV/f.u.

Unit cell a=6.2390 b=6.2390 c=9.4352 alpha=90.00 beta=90.00 gamma=144.55
Closest atoms and distances in Å follow each position.
Positions (direct):
1 Tm 0.1428 0.8572 0.5702  3 Ru 2.90-3.23
2 Tm 0.1428 0.8572 0.9298  3 Ru 2.90-3.23
3 Tm 0.8572 0.1428 0.0702  3 Ru 2.90-3.23
4 Tm 0.8572 0.1428 0.4298  3 Ru 2.90-3.23
5 Th 0.4232 0.5768 0.7500  2 Ru 2.71
6 Th 0.5768 0.4232 0.2500  2 Ru 2.71
7 Ru 0.2400 0.7600 0.2500  2 Th 2.71, 4 Tm 2.90
8 Ru 0.7600 0.2400 0.7500  2 Th 2.71, 4 Tm 2.90

---

No. 4
The following is a DFT calculation (GGA-PBE) of an optimized crystal structure of Tm2ThRu2.

Results
DFT formation energy = -416 meV/atom
relative energy among the computed polymorphs = 7 meV per atom
symmetry = P2_1/c, No. 14
total magnetization = 0.0 μB per cell
density of states at the Fermi level = 2.78 states/eV/f.u.

Unit cell a=10.0858 b=6.6808 c=7.0827 alpha=90.00 beta=93.70 gamma=90.00
Closest atoms and distances in Å follow each position.
Positions (direct):
1 Tm 0.0151 0.2410 0.4321  3 Ru 2.80-2.90
2 Tm 0.0151 0.2590 0.9321  3 Ru 2.80-2.90
3 Tm 0.2913 0.6753 0.8891  5 Ru 2.84-3.00
4 Tm 0.2913 0.8247 0.3891  5 Ru 2.84-3.00
5 Tm 0.7087 0.1753 0.6109  5 Ru 2.84-3.00
6 Tm 0.7087 0.3247 0.1109  5 Ru 2.84-3.00
7 Tm 0.9849 0.7410 0.0679  3 Ru 2.80-2.90
8 Tm 0.9849 0.7590 0.5679  3 Ru 2.80-2.90
9 Th 0.3592 0.1817 0.0062  3 Ru 2.63-2.90
10 Th 0.3592 0.3183 0.5062  3 Ru 2.63-2.90
11 Th 0.6408 0.6817 0.4938  3 Ru 2.63-2.90
12 Th 0.6408 0.8183 0.9938  3 Ru 2.63-2.90
13 Ru 0.1795 0.0249 0.7142  5 Tm 2.80-2.95, 2 Th 2.86-3.11, 1 Ru 3.10
14 Ru 0.1795 0.4751 0.2142  5 Tm 2.80-2.95, 2 Th 2.86-3.11, 1 Ru 3.10
15 Ru 0.4826 0.5513 0.2106  2 Th 2.63-2.90, 1 Tm 2.86
16 Ru 0.4826 0.9487 0.7106  2 Th 2.63-2.90, 1 Tm 2.86
17 Ru 0.5174 0.0513 0.2894  2 Th 2.63-2.90, 1 Tm 2.86
18 Ru 0.5174 0.4487 0.7894  2 Th 2.63-2.90, 1 Tm 2.86
19 Ru 0.8205 0.5249 0.7858  5 Tm 2.80-2.95, 2 Th 2.86-3.11, 1 Ru 3.10
20 Ru 0.8205 0.9751 0.2858  5 Tm 2.80-2.95, 2 Th 2.86-3.11, 1 Ru 3.10

---

No. 5
The following is a DFT calculation (GGA-PBE) of an optimized crystal structure of TmTh2Ru.

Results
DFT formation energy = -304 meV/atom
relative energy among the computed polymorphs = 0 meV per atom
symmetry = Pnma, No. 62
total magnetization = 0.0 μB per cell
density of states at the Fermi level = 4.81 states/eV/f.u.

Unit cell a=7.1848 b=9.8979 c=6.2122 alpha=90.00 beta=90.00 gamma=90.00
Closest atoms and distances in Å follow each position.
Positions (direct):
1 Tm 0.0414 0.2500 0.1507  2 Ru 2.93-3.05
2 Tm 0.4586 0.7500 0.6507  2 Ru 2.93-3.05
3 Tm 0.5414 0.2500 0.3493  2 Ru 2.93-3.05
4 Tm 0.9586 0.7500 0.8493  2 Ru 2.93-3.05
5 Th 0.1708 0.0624 0.6646  2 Ru 2.80
6 Th 0.1708 0.4376 0.6646  2 Ru 2.80
7 Th 0.3292 0.5624 0.1646  2 Ru 2.80
8 Th 0.3292 0.9376 0.1646  2 Ru 2.80
9 Th 0.6708 0.0624 0.8354  2 Ru 2.80
10 Th 0.6708 0.4376 0.8354  2 Ru 2.80
11 Th 0.8292 0.5624 0.3354  2 Ru 2.80
12 Th 0.8292 0.9376 0.3354  2 Ru 2.80
13 Ru 0.1165 0.7500 0.3940  4 Th 2.80, 2 Tm 2.93-3.05
14 Ru 0.3835 0.2500 0.8940  4 Th 2.80, 2 Tm 2.93-3.05
15 Ru 0.6165 0.7500 0.1060  4 Th 2.80, 2 Tm 2.93-3.05
16 Ru 0.8835 0.2500 0.6060  4 Th 2.80, 2 Tm 2.93-3.05

---

No. 6
The following is a DFT calculation (GGA-PBE) of an optimized crystal structure of Tm5ThRu4.

Results
DFT formation energy = -392 meV/atom
symmetry = C2/m, No. 12
total magnetization = 0.0 μB per cell
density of states at the Fermi level = 6.83 states/eV/f.u.

Unit cell a=7.5588 b=7.5588 c=6.6770 alpha=91.93 beta=91.93 gamma=37.20
Closest atoms and distances in Å follow each position.
Positions (direct):
1 Tm 0.0000 0.0000 0.0000  6 Ru 2.90-2.96
2 Tm 0.3286 0.3286 0.4983  5 Ru 2.90-2.99
3 Tm 0.3335 0.3335 0.9977  5 Ru 2.90-2.98
4 Tm 0.6665 0.6665 0.0023  5 Ru 2.90-2.98
5 Tm 0.6714 0.6714 0.5017  5 Ru 2.90-2.99
6 Th 0.0000 0.0000 0.5000  6 Ru 2.76-2.91
7 Ru 0.1596 0.1596 0.7450  1 Th 2.76, 7 Tm 2.90-2.98
8 Ru 0.5000 0.5000 0.2567  6 Tm 2.90-2.99, 2 Th 2.91
9 Ru 0.5000 0.5000 0.7433  6 Tm 2.90-2.99, 2 Th 2.91
10 Ru 0.8404 0.8404 0.2550  1 Th 2.76, 7 Tm 2.90-2.98

---

No. 7
The following is a DFT calculation (GGA-PBE) of an optimized crystal structure of Tm3ThRu8.

Results
DFT formation energy = -334 meV/atom
symmetry = R3m, No. 160
total magnetization = 0.0 μB per cell
density of states at the Fermi level = 11.36 states/eV/f.u.

Unit cell a=9.2955 b=9.2955 c=9.2955 alpha=33.26 beta=33.26 gamma=33.26
Closest atoms and distances in Å follow each position.
Positions (direct):
1 Tm 0.0000 0.0000 0.0000  12 Ru 3.12-3.23, 1 Tm 3.24, 3 Th 3.28
2 Tm 0.1230 0.1230 0.1230  12 Ru 3.10-3.12, 4 Tm 3.24-3.25
3 Tm 0.4968 0.4968 0.4968  12 Ru 3.07-3.12, 3 Tm 3.25, 1 Th 3.32
4 Th 0.6231 0.6231 0.6231  12 Ru 3.12-3.18, 4 Tm 3.28-3.32
5 Ru 0.0601 0.0601 0.5567  6 Ru 2.64-2.72
6 Ru 0.0601 0.5567 0.0601  6 Ru 2.64-2.72
7 Ru 0.0655 0.5604 0.5604  6 Ru 2.63-2.69
8 Ru 0.3110 0.3110 0.3110  6 Ru 2.69-2.72
9 Ru 0.5567 0.0601 0.0601  6 Ru 2.64-2.72
10 Ru 0.5604 0.0655 0.5604  6 Ru 2.63-2.69
11 Ru 0.5604 0.5604 0.0655  6 Ru 2.63-2.69
12 Ru 0.8104 0.8104 0.8104  6 Ru 2.65

---

No. 8
The following is a DFT calculation (GGA-PBE) of an optimized crystal structure of TmTh2Ru2.

Results
DFT formation energy = -433 meV/atom
symmetry = P2_1/c, No. 14
total magnetization = 0.0 μB per cell
density of states at the Fermi level = 3.79 states/eV/f.u.

Unit cell a=9.6072 b=7.5393 c=6.8928 alpha=90.00 beta=106.72 gamma=90.00
Closest atoms and distances in Å follow each position.
Positions (direct):
1 Tm 0.0833 0.1963 0.0387  5 Ru 2.80-3.11
2 Tm 0.0833 0.3037 0.5387  5 Ru 2.80-3.11
3 Tm 0.9167 0.6963 0.4613  5 Ru 2.80-3.11
4 Tm 0.9167 0.8037 0.9613  5 Ru 2.80-3.11
5 Th 0.2303 0.6239 0.2512  4 Ru 2.71-3.01
6 Th 0.2303 0.8761 0.7512  4 Ru 2.71-3.01
7 Th 0.4280 0.2213 0.4781  3 Ru 2.71-2.94
8 Th 0.4280 0.2787 0.9781  3 Ru 2.71-2.94
9 Th 0.5720 0.7213 0.0219  3 Ru 2.71-2.94
10 Th 0.5720 0.7787 0.5219  3 Ru 2.71-2.94
11 Th 0.7697 0.1239 0.2488  4 Ru 2.71-3.01
12 Th 0.7697 0.3761 0.7488  4 Ru 2.71-3.01
13 Ru 0.1008 0.5397 0.8584  2 Th 2.71-3.01, 3 Tm 2.80-2.90
14 Ru 0.1008 0.9603 0.3584  2 Th 2.71-3.01, 3 Tm 2.80-2.90
15 Ru 0.3619 0.5340 0.6891  5 Th 2.71-3.00
16 Ru 0.3619 0.9660 0.1891  5 Th 2.71-3.00
17 Ru 0.6381 0.0340 0.8109  5 Th 2.71-3.00
18 Ru 0.6381 0.4660 0.3109  5 Th 2.71-3.00
19 Ru 0.8992 0.0397 0.6417  2 Th 2.71-3.01, 3 Tm 2.80-2.90
20 Ru 0.8992 0.4603 0.1416  2 Th 2.71-3.01, 3 Tm 2.80-2.90

---

No. 9
The following is a DFT calculation (GGA-PBE) of an optimized crystal structure of Tm2ThRu.

Results
DFT formation energy = -377 meV/atom
relative energy among the computed polymorphs = 0 meV per atom
symmetry = Pnma, No. 62
total magnetization = 0.0 μB per cell
density of states at the Fermi level = 3.35 states/eV/f.u.

Unit cell a=7.2044 b=9.4373 c=6.2900 alpha=90.00 beta=90.00 gamma=90.00
Closest atoms and distances in Å follow each position.
Positions (direct):
1 Tm 0.1743 0.0665 0.1668  2 Ru 2.90-2.92
2 Tm 0.1743 0.4335 0.1668  2 Ru 2.90-2.92
3 Tm 0.3257 0.5665 0.6668  2 Ru 2.90-2.92
4 Tm 0.3257 0.9335 0.6668  2 Ru 2.90-2.92
5 Tm 0.6743 0.0665 0.3332  2 Ru 2.90-2.92
6 Tm 0.6743 0.4335 0.3332  2 Ru 2.90-2.92
7 Tm 0.8257 0.5665 0.8332  2 Ru 2.90-2.92
8 Tm 0.8257 0.9335 0.8332  2 Ru 2.90-2.92
9 Th 0.0451 0.2500 0.6494  2 Ru 2.61-2.75
10 Th 0.4549 0.7500 0.1494  2 Ru 2.61-2.75
11 Th 0.5451 0.2500 0.8506  2 Ru 2.61-2.75
12 Th 0.9549 0.7500 0.3506  2 Ru 2.61-2.75
13 Ru 0.1319 0.7500 0.9627  2 Th 2.61-2.75, 2 Tm 2.90
14 Ru 0.3681 0.2500 0.4627  2 Th 2.61-2.75, 2 Tm 2.90
15 Ru 0.6319 0.7500 0.5373  2 Th 2.61-2.75, 2 Tm 2.90
16 Ru 0.8681 0.2500 0.0373  2 Th 2.61-2.75, 2 Tm 2.90

---

No. 10
The following is a DFT calculation (GGA-PBE) of an optimized crystal structure of Tm3ThRu4.

Results
DFT formation energy = -497 meV/atom
symmetry = R-3m, No. 166
total magnetization = 0.0 μB per cell
density of states at the Fermi level = 3.69 states/eV/f.u.

Unit cell a=8.3067 b=8.3067 c=8.3067 alpha=33.70 beta=33.70 gamma=33.70
Closest atoms and distances in Å follow each position.
Positions (direct):
1 Tm 0.0000 0.0000 0.0000  8 Ru 2.96-2.97
2 Tm 0.2546 0.2546 0.2546  8 Ru 2.88-3.01
3 Tm 0.7454 0.7454 0.7454  8 Ru 2.88-3.01
4 Th 0.5000 0.5000 0.5000  8 Ru 2.89-2.94
5 Ru 0.1265 0.1265 0.1265  3 Th 2.94, 5 Tm 2.97-3.01
6 Ru 0.3771 0.3771 0.3771  7 Tm 2.88-2.96, 1 Th 2.89
7 Ru 0.6229 0.6229 0.6229  7 Tm 2.88-2.96, 1 Th 2.89
8 Ru 0.8735 0.8735 0.8735  3 Th 2.94, 5 Tm 2.97-3.01

---

No. 11
The following is a DFT calculation (GGA-PBE) of an optimized crystal structure of TmTh2Ru.

Results
DFT formation energy = -98 meV/atom
relative energy among the computed polymorphs = 206 meV per atom
symmetry = P4/mmm, No. 123
total magnetization = 0.0 μB per cell
density of states at the Fermi level = 7.29 states/eV/f.u.

Unit cell a=3.6372 b=3.6372 c=8.1481 alpha=90.00 beta=90.00 gamma=90.00
Closest atoms and distances in Å follow each position.
Positions (direct):
1 Tm 0.0000 0.0000 0.0000  8 Th 3.53, 4 Tm 3.64
2 Th 0.5000 0.5000 0.2974  4 Ru 3.06, 1 Th 3.30
3 Th 0.5000 0.5000 0.7026  4 Ru 3.06, 1 Th 3.30
4 Ru 0.0000 0.0000 0.5000  8 Th 3.06

---

No. 12
The following is a DFT calculation (GGA-PBE) of an optimized crystal structure of Tm2ThRu.

Results
DFT formation energy = 85 meV/atom
relative energy among the computed polymorphs = 462 meV per atom
symmetry = R-3m, No. 166
total magnetization = 0.0 μB per cell
density of states at the Fermi level = 6.66 states/eV/f.u.

Unit cell a=10.9076 b=10.9076 c=10.9076 alpha=17.90 beta=17.90 gamma=17.90
Closest atoms and distances in Å follow each position.
Positions (direct):
1 Tm 0.1062 0.1062 0.1062  3 Ru 2.76
2 Tm 0.8938 0.8938 0.8938  3 Ru 2.76
3 Th 0.0000 0.0000 0.0000  6 Th 3.39, 2 Tm 3.42
4 Ru 0.5000 0.5000 0.5000  6 Tm 2.76

---

Repeat the seventh record exactly.
The following is a DFT calculation (GGA-PBE) of an optimized crystal structure of Tm3ThRu8.

Results
DFT formation energy = -334 meV/atom
symmetry = R3m, No. 160
total magnetization = 0.0 μB per cell
density of states at the Fermi level = 11.36 states/eV/f.u.

Unit cell a=9.2955 b=9.2955 c=9.2955 alpha=33.26 beta=33.26 gamma=33.26
Closest atoms and distances in Å follow each position.
Positions (direct):
1 Tm 0.0000 0.0000 0.0000  12 Ru 3.12-3.23, 1 Tm 3.24, 3 Th 3.28
2 Tm 0.1230 0.1230 0.1230  12 Ru 3.10-3.12, 4 Tm 3.24-3.25
3 Tm 0.4968 0.4968 0.4968  12 Ru 3.07-3.12, 3 Tm 3.25, 1 Th 3.32
4 Th 0.6231 0.6231 0.6231  12 Ru 3.12-3.18, 4 Tm 3.28-3.32
5 Ru 0.0601 0.0601 0.5567  6 Ru 2.64-2.72
6 Ru 0.0601 0.5567 0.0601  6 Ru 2.64-2.72
7 Ru 0.0655 0.5604 0.5604  6 Ru 2.63-2.69
8 Ru 0.3110 0.3110 0.3110  6 Ru 2.69-2.72
9 Ru 0.5567 0.0601 0.0601  6 Ru 2.64-2.72
10 Ru 0.5604 0.0655 0.5604  6 Ru 2.63-2.69
11 Ru 0.5604 0.5604 0.0655  6 Ru 2.63-2.69
12 Ru 0.8104 0.8104 0.8104  6 Ru 2.65